[1]
VASP calculation (PBE) on an optimized crystal structure of Pm2Si2H.

Structure (CIF):
```
data_Pm2Si2H
_chemical_formula_sum 'Pm8 Si8 H4'
_cell_length_a 11.5542
_cell_length_b 6.0284
_cell_length_c 5.9650
_cell_angle_alpha 90.00
_cell_angle_beta 103.45
_cell_angle_gamma 90.00
_space_group_name_H-M_alt 'C 1 2/c 1'
_space_group_IT_number 15
_space_group_name_Hall '-C 2yc'
loop_
_atom_site_label
_atom_site_fract_x
_atom_site_fract_y
_atom_site_fract_z
Pm1 0.1042 0.2236 0.0534
Si1 0.1679 0.2913 0.5772
H1 0.0000 0.0052 0.7500
```

Output
Spin magnetization = 0.0000 μB/atom
Electronic total energy = -106.08 eV per cell

***

[2]
VASP calculation (PBE) on an optimized crystal structure of Pm3SiH2.

Structure (CIF):
```
data_Pm3SiH2
_chemical_formula_sum 'Pm6 Si2 H4'
_cell_length_a 4.9669
_cell_length_b 12.3025
_cell_length_c 3.8952
_cell_angle_alpha 90.00
_cell_angle_beta 90.00
_cell_angle_gamma 90.00
_space_group_name_H-M_alt 'P m m n'
_space_group_IT_number 59
loop_
_space_group_symop_operation_xyz
'x,y,z'
'-x,-y,-z'
'-x+1/2,-y+1/2,z'
'x+1/2,y+1/2,-z'
'x+1/2,-y,-z'
'-x+1/2,y,z'
'-x,y+1/2,-z'
'x,-y+1/2,z'
loop_
_atom_site_label
_atom_site_fract_x
_atom_site_fract_y
_atom_site_fract_z
Pm1 0.2500 0.0621 0.2425
Pm2 0.2500 0.7500 0.6840
Si1 0.2500 0.2500 0.7611
H1 0.2500 0.5546 0.7374
```

Output
Spin magnetization = 0.0000 μB/atom
Electronic total energy = -58.40 eV per cell

***

[3]
VASP calculation (PBE) on an optimized crystal structure of Pm5Si2H2.

Structure (CIF):
```
data_Pm5Si2H2
_chemical_formula_sum 'Pm20 Si8 H8'
_cell_length_a 20.0511
_cell_length_b 6.5528
_cell_length_c 6.3299
_cell_angle_alpha 90.00
_cell_angle_beta 90.00
_cell_angle_gamma 90.00
_space_group_name_H-M_alt 'I m a 2'
_space_group_IT_number 46
_space_group_name_Hall 'I 2 -2a'
loop_
_atom_site_label
_atom_site_fract_x
_atom_site_fract_y
_atom_site_fract_z
Pm1 0.0094 0.2494 0.0000
Pm2 0.1515 0.5374 0.2532
Pm3 0.2500 0.0581 0.2498
Si1 0.1048 0.5215 0.7520
H1 0.0000 0.0000 0.7490
H2 0.2500 0.1092 0.8817
```

Output
Spin magnetization = 0.0001 μB/atom
Electronic total energy = -182.18 eV per cell

***

[4]
VASP calculation (PBE) on an optimized crystal structure of Pm6Si2H.

Structure (CIF):
```
data_Pm6Si2H
_chemical_formula_sum 'Pm12 Si4 H2'
_cell_length_a 6.3921
_cell_length_b 7.8171
_cell_length_c 11.3170
_cell_angle_alpha 90.00
_cell_angle_beta 124.00
_cell_angle_gamma 90.00
_space_group_name_H-M_alt 'P 1 21/c 1'
_space_group_IT_number 14
_space_group_name_Hall '-P 2ybc'
loop_
_atom_site_label
_atom_site_fract_x
_atom_site_fract_y
_atom_site_fract_z
Pm1 0.0743 0.1941 0.4456
Pm2 0.3156 0.6806 0.4458
Pm3 0.3850 0.0312 0.2541
Si1 0.1750 0.1193 0.7462
H1 0.0000 0.0000 0.0000
```

Output
Spin magnetization = 0.0000 μB/atom
Electronic total energy = -92.79 eV per cell

***

[5]
VASP calculation (PBE) on an optimized crystal structure of PmSiH.

Structure (CIF):
```
data_PmSiH
_chemical_formula_sum 'Pm2 Si2 H2'
_cell_length_a 4.1344
_cell_length_b 3.9323
_cell_length_c 6.3374
_cell_angle_alpha 90.00
_cell_angle_beta 109.00
_cell_angle_gamma 90.00
_space_group_name_H-M_alt 'P 1 21/m 1'
_space_group_IT_number 11
_space_group_name_Hall '-P 2yb'
loop_
_atom_site_label
_atom_site_fract_x
_atom_site_fract_y
_atom_site_fract_z
Pm1 0.1453 0.2500 0.2913
Si1 0.4435 0.2500 0.8864
H1 0.2555 0.7500 0.5098
```

Output
Energy relative to the lowest polymorph listed for this composition = 0 meV/atom
Spin magnetization = 0.0000 μB/atom

***

[6]
VASP calculation (PBE) on an optimized crystal structure of Pm12Si5H2.

Structure (CIF):
```
data_Pm12Si5H2
_chemical_formula_sum 'Pm24 Si10 H4'
_cell_length_a 16.4177
_cell_length_b 7.4104
_cell_length_c 9.0045
_cell_angle_alpha 90.00
_cell_angle_beta 104.80
_cell_angle_gamma 90.00
_space_group_name_H-M_alt 'C 1 2/m 1'
_space_group_IT_number 12
_space_group_name_Hall '-C 2y'
loop_
_atom_site_label
_atom_site_fract_x
_atom_site_fract_y
_atom_site_fract_z
Pm1 0.0055 0.0000 0.2344
Pm2 0.0084 0.5000 0.8160
Pm3 0.1463 0.2506 0.5683
Pm4 0.1616 0.2529 0.0906
Si1 0.0000 0.5000 0.5000
Si2 0.1819 0.0000 0.8439
Si3 0.1976 0.0000 0.3515
H1 0.0000 0.2470 0.0000
```

Output
Spin magnetization = 0.0000 μB/atom
Electronic total energy = -194.79 eV per cell

***

> The highest spin magnetization belongs to which entry?

Pm5Si2H2

***

Copy entry 1 word for word.
VASP calculation (PBE) on an optimized crystal structure of Pm2Si2H.

Structure (CIF):
```
data_Pm2Si2H
_chemical_formula_sum 'Pm8 Si8 H4'
_cell_length_a 11.5542
_cell_length_b 6.0284
_cell_length_c 5.9650
_cell_angle_alpha 90.00
_cell_angle_beta 103.45
_cell_angle_gamma 90.00
_space_group_name_H-M_alt 'C 1 2/c 1'
_space_group_IT_number 15
_space_group_name_Hall '-C 2yc'
loop_
_atom_site_label
_atom_site_fract_x
_atom_site_fract_y
_atom_site_fract_z
Pm1 0.1042 0.2236 0.0534
Si1 0.1679 0.2913 0.5772
H1 0.0000 0.0052 0.7500
```

Output
Spin magnetization = 0.0000 μB/atom
Electronic total energy = -106.08 eV per cell

***

> Which value of spin magnetization does entry 4 give?

0.0000 μB/atom

***

> What is the spin magnetization in the second record?

0.0000 μB/atom